1.
Entry from the Alexandria database: a relaxed TaSiAsBr2 crystal (PBE).

Unit cell a=5.0403 b=5.0403 c=5.0402 alpha=90.00 beta=90.00 gamma=90.00
Fractional positions:
1 Ta 0.0000 0.0000 0.0000
2 Si 0.5000 0.5000 0.0000
3 As 0.5000 0.5000 0.5000
4 Br 0.0000 0.5000 0.5000
5 Br 0.5000 0.0000 0.5000



2.
Entry from the Alexandria database: a relaxed ErTlAuSe2 crystal (PBE).

Unit cell a=7.6568 b=5.1372 c=7.6148 alpha=90.00 beta=102.09 gamma=90.00
Fractional positions:
1 Er 0.0000 0.0050 0.2500
2 Er 0.0000 0.9950 0.7500
3 Tl 0.5000 0.3252 0.7500
4 Tl 0.5000 0.6748 0.2500
5 Au 0.0000 0.5000 0.0000
6 Au 0.0000 0.5000 0.5000
7 Se 0.2528 0.1539 0.0514
8 Se 0.2528 0.8461 0.5514
9 Se 0.7472 0.1539 0.4486
10 Se 0.7472 0.8461 0.9486



What are the energy relative to the elements, uncorrected values for these records? In order: 1.363 -0.801 eV per atom.